Entry 1:
## CoGe2Pt (PBE-GGA)

Data for an optimized crystal structure of CoGe2Pt.

POSCAR file:
```
CoGe2Pt
1.0
2.955 0.000 0.000
-1.478 2.559 0.000
0.000 0.000 25.905
Co Ge Pt
3 6 3
direct
0.000 0.000 0.000
0.333 0.667 0.667
0.667 0.333 0.333
0.000 0.000 0.088
0.000 0.000 0.912
0.333 0.667 0.579
0.333 0.667 0.755
0.667 0.333 0.245
0.667 0.333 0.421
0.000 0.000 0.500
0.333 0.667 0.167
0.667 0.333 0.833
```

Results
- Density of states at the Fermi level: 11.17 states/eV/cell
- DFT formation energy: 0.1831 eV per atom
- Energy above the lowest structure with this stoichiometry: 0.332 eV/atom
- Symmetry: No. 166



Entry 2:
## YBe3Sn (PBE-GGA)

Data for an optimized crystal structure of YBe3Sn.

POSCAR file:
```
YBe3Sn
1.0
4.578 0.000 0.000
0.000 4.578 0.000
0.000 0.000 4.578
Y Be Sn
1 3 1
direct
0.000 0.000 0.000
0.000 0.500 0.500
0.500 0.000 0.500
0.500 0.500 0.000
0.500 0.500 0.500
```

Results
- Density of states at the Fermi level: 2.35 states/eV/cell
- DFT formation energy: 0.8043 eV per atom
- Energy above the lowest structure with this stoichiometry: 0.000 eV/atom
- Symmetry: No. 221



Entry 3:
## BeSbAu (PBE-GGA)

Data for an optimized crystal structure of BeSbAu.

POSCAR file:
```
BeSbAu
1.0
4.157 0.000 0.000
-2.079 3.600 0.000
0.000 0.000 7.839
Be Sb Au
2 2 2
direct
0.333 0.667 0.250
0.667 0.333 0.750
0.333 0.667 0.750
0.667 0.333 0.250
0.000 0.000 0.000
0.000 0.000 0.500
```

Results
- Density of states at the Fermi level: 1.46 states/eV/cell
- Symmetry: No. 194
- E_form (uncorrected): 345 meV per atom



Entry 4:
## SiSe (PBE-GGA)

Data for an optimized crystal structure of SiSe.

POSCAR file:
```
SiSe
1.0
3.582 0.000 0.000
-1.791 3.102 0.000
0.000 0.000 3.621
Si Se
1 1
direct
0.000 0.000 0.000
0.667 0.333 0.500
```

Results
- Density of states at the Fermi level: 0.97 states/eV/cell
- Symmetry: No. 187
- E_form (uncorrected): 260 meV per atom